Below is a relaxed structure of HoMnBi2O6, with properties calculated at the GGA+U level.

## Properties
* final energy: -6.817 eV/atom

Unit cell a=5.6273 b=5.8556 c=5.9894 alpha=118.20 beta=117.86 gamma=90.17
Last column: nearest neighbours and their distance in Å.
Space group P1 (No. 1)
One atom of each set of equivalent atoms:
Ho1 0.0000 0.0000 0.0000 x1  6 O 2.18-2.38
Mn1 0.4970 0.4725 0.9705 x1  4 O 1.97-2.01
Bi1 0.2680 0.8413 0.5611 x1  4 O 2.26-2.52
Bi2 0.7991 0.3510 0.5719 x1  5 O 2.26-2.42
O1 0.1379 0.1700 0.4669 x1  1 Ho 2.18, 2 Bi 2.28-2.38, 1 Mn 2.36
O2 0.2046 0.6517 0.9953 x1  1 Mn 1.98
O3 0.3439 0.1848 0.0009 x1  1 Mn 2.01, 1 Ho 2.21
O4 0.6322 0.6816 0.8525 x1  1 Mn 1.97
O5 0.7169 0.2265 0.8639 x1  1 Mn 1.97, 1 Ho 2.19
O6 0.8460 0.6948 0.4881 x1  2 Bi 2.29-2.33, 1 Mn 2.38, 1 Ho 2.38